# In4AuSe3, relaxed, DFT GGA-PBE
data_In4AuSe3
_space_group_name_H-M_alt 'P m n 21'
_space_group_IT_number 31
_space_group_name_Hall 'P 2ac -2'
_cell_length_a 8.404
_cell_length_b 8.687
_cell_length_c 7.075
_cell_angle_alpha 90.00
_cell_angle_beta 90.00
_cell_angle_gamma 90.00
loop_
_atom_site_label
_atom_site_type_symbol
_atom_site_fract_x
_atom_site_fract_y
_atom_site_fract_z
_atom_site_occupancy
In1 In 0.000 0.135 0.000 1
In2 In 0.000 0.821 0.547 1
In3 In 0.220 0.344 0.542 1
Au1 Au 0.000 0.123 0.609 1
Se1 Se 0.000 0.787 0.154 1
Se2 Se 0.247 0.358 0.152 1
# crystal system: orthorhombic
# ΔE_f (raw): -261 kJ/mol of formula units

---

# ScB4Rh, relaxed, DFT GGA-PBE
data_ScB4Rh
_space_group_name_H-M_alt 'P b a m'
_space_group_IT_number 55
_space_group_name_Hall '-P 2 2ab'
_cell_length_a 5.863
_cell_length_b 11.350
_cell_length_c 3.445
_cell_angle_alpha 90.00
_cell_angle_beta 90.00
_cell_angle_gamma 90.00
loop_
_atom_site_label
_atom_site_type_symbol
_atom_site_fract_x
_atom_site_fract_y
_atom_site_fract_z
_atom_site_occupancy
Sc1 Sc 0.132 0.148 0.000 1
B1 B 0.021 0.696 0.500 1
B2 B 0.115 0.549 0.500 1
B3 B 0.133 0.971 0.500 1
B4 B 0.203 0.812 0.500 1
Rh1 Rh 0.143 0.404 0.000 1
# crystal system: orthorhombic
# formation energy: -0.597 eV per atom

---

# NaFe2B, relaxed, DFT GGA-PBE
data_NaFe2B
_space_group_name_H-M_alt 'I 41/a m d'
_space_group_IT_number 141
_cell_length_a 4.936
_cell_length_b 4.936
_cell_length_c 12.149
_cell_angle_alpha 90.00
_cell_angle_beta 90.00
_cell_angle_gamma 90.00
loop_
_space_group_symop_operation_xyz
'x,y,z'
'-x,-y,-z'
'-y+1/4,x+3/4,z+1/4'
'y+1/4,-x+3/4,-z+1/4'
'-x+1/2,-y,z+1/2'
'x+1/2,y,-z+1/2'
'y+1/4,-x+1/4,z+3/4'
'-y+1/4,x+1/4,-z+3/4'
'x,-y,-z'
'-x,y,z'
'-y+1/4,-x+1/4,-z+3/4'
'y+1/4,x+1/4,z+3/4'
'-x+1/2,y,-z+1/2'
'x+1/2,-y,z+1/2'
'y+1/4,x+3/4,-z+1/4'
'-y+1/4,-x+3/4,z+1/4'
'x+1/2,y+1/2,z+1/2'
'-x+1/2,-y+1/2,-z+1/2'
'-y+3/4,x+1/4,z+3/4'
'y+3/4,-x+1/4,-z+3/4'
'-x,-y+1/2,z'
'x,y+1/2,-z'
'y+3/4,-x+3/4,z+1/4'
'-y+3/4,x+3/4,-z+1/4'
'x+1/2,-y+1/2,-z+1/2'
'-x+1/2,y+1/2,z+1/2'
'-y+3/4,-x+3/4,-z+1/4'
'y+3/4,x+3/4,z+1/4'
'-x,y+1/2,-z'
'x,-y+1/2,z'
'y+3/4,x+1/4,-z+3/4'
'-y+3/4,-x+1/4,z+3/4'
loop_
_atom_site_label
_atom_site_type_symbol
_atom_site_fract_x
_atom_site_fract_y
_atom_site_fract_z
_atom_site_occupancy
Na1 Na 0.000 0.250 0.375 1
Fe1 Fe 0.000 0.000 0.000 1
B1 B 0.000 0.250 0.875 1
# crystal system: tetragonal
# formation energy: 0.823 eV per atom

---

# LaInBr2, relaxed, DFT GGA-PBE
data_LaInBr2
_space_group_name_H-M_alt 'P 4 m m'
_space_group_IT_number 99
_space_group_name_Hall 'P 4 -2'
_cell_length_a 4.165
_cell_length_b 4.165
_cell_length_c 7.286
_cell_angle_alpha 90.00
_cell_angle_beta 90.00
_cell_angle_gamma 90.00
loop_
_atom_site_label
_atom_site_type_symbol
_atom_site_fract_x
_atom_site_fract_y
_atom_site_fract_z
_atom_site_occupancy
La1 La 0.000 0.000 0.000 1
In1 In 0.500 0.500 0.693 1
Br1 Br 0.000 0.000 0.405 1
Br2 Br 0.500 0.500 0.125 1
# energy above the most stable polymorph in this dataset: 0.39 eV/f.u.
# crystal system: tetragonal
# ΔE_f (raw): -395 kJ/mol of formula units

---

# Pr4SmS5, relaxed, DFT GGA-PBE
data_Pr4SmS5
_space_group_name_H-M_alt 'I m m m'
_space_group_IT_number 71
_space_group_name_Hall '-I 2 2'
_cell_length_a 4.085
_cell_length_b 5.778
_cell_length_c 20.457
_cell_angle_alpha 90.00
_cell_angle_beta 90.00
_cell_angle_gamma 90.00
loop_
_atom_site_label
_atom_site_type_symbol
_atom_site_fract_x
_atom_site_fract_y
_atom_site_fract_z
_atom_site_occupancy
Pr1 Pr 0.000 0.000 0.100 1
Pr2 Pr 0.000 0.000 0.301 1
Sm1 Sm 0.000 0.000 0.500 1
S1 S 0.000 0.500 0.097 1
S2 S 0.000 0.500 0.300 1
S3 S 0.000 0.500 0.500 1
# crystal system: orthorhombic
# ΔE_f (raw): -1945 kJ/mol of formula units

---

# Sm7Zn2In2, relaxed, DFT GGA-PBE
data_Sm7Zn2In2
_space_group_name_H-M_alt 'C m m m'
_space_group_IT_number 65
_space_group_name_Hall '-C 2 2'
_cell_length_a 7.881
_cell_length_b 11.281
_cell_length_c 7.643
_cell_angle_alpha 90.00
_cell_angle_beta 90.00
_cell_angle_gamma 90.00
loop_
_atom_site_label
_atom_site_type_symbol
_atom_site_fract_x
_atom_site_fract_y
_atom_site_fract_z
_atom_site_occupancy
Sm1 Sm 0.000 0.000 0.000 1
Sm2 Sm 0.000 0.500 0.240 1
Sm3 Sm 0.250 0.250 0.277 1
Zn1 Zn 0.000 0.286 0.000 1
In1 In 0.178 0.000 0.500 1
# crystal system: orthorhombic
# formation energy: -0.059 eV per atom

---

# AcGaBiPb, relaxed, DFT GGA-PBE
data_AcGaBiPb
_space_group_name_H-M_alt 'F -4 3 m'
_space_group_IT_number 216
_space_group_name_Hall 'F -4 2 3'
_cell_length_a 7.985
_cell_length_b 7.985
_cell_length_c 7.985
_cell_angle_alpha 90.00
_cell_angle_beta 90.00
_cell_angle_gamma 90.00
loop_
_atom_site_label
_atom_site_type_symbol
_atom_site_fract_x
_atom_site_fract_y
_atom_site_fract_z
_atom_site_occupancy
Ac1 Ac 0.000 0.000 0.000 1
Ga1 Ga 0.250 0.250 0.750 1
Bi1 Bi 0.250 0.250 0.250 1
Pb1 Pb 0.000 0.000 0.500 1
# crystal system: cubic
# formation energy: -0.270 eV per atom

---

# DyAlRu, relaxed, DFT GGA-PBE
data_DyAlRu
_space_group_name_H-M_alt 'I 4 m m'
_space_group_IT_number 107
_space_group_name_Hall 'I 4 -2'
_cell_length_a 3.282
_cell_length_b 3.282
_cell_length_c 10.505
_cell_angle_alpha 90.00
_cell_angle_beta 90.00
_cell_angle_gamma 90.00
loop_
_atom_site_label
_atom_site_type_symbol
_atom_site_fract_x
_atom_site_fract_y
_atom_site_fract_z
_atom_site_occupancy
Dy1 Dy 0.000 0.000 0.000 1
Al1 Al 0.000 0.000 0.286 1
Ru1 Ru 0.000 0.000 0.678 1
# crystal system: tetragonal
# formation energy: -0.491 eV per atom

---

# Ti17N6O24, relaxed, DFT GGA-PBE
data_Ti17N6O24
_space_group_name_H-M_alt 'A m a 2'
_space_group_IT_number 40
_space_group_name_Hall 'A 2 -2a'
_cell_length_a 20.092
_cell_length_b 11.449
_cell_length_c 9.657
_cell_angle_alpha 90.00
_cell_angle_beta 90.00
_cell_angle_gamma 90.00
loop_
_atom_site_label
_atom_site_type_symbol
_atom_site_fract_x
_atom_site_fract_y
_atom_site_fract_z
_atom_site_occupancy
Ti1 Ti 0.000 0.000 0.000 1
Ti2 Ti 0.001 0.168 0.502 1
Ti3 Ti 0.087 0.166 0.166 1
Ti4 Ti 0.089 0.000 0.666 1
Ti5 Ti 0.095 0.333 0.666 1
Ti6 Ti 0.159 0.333 0.939 1
Ti7 Ti 0.164 0.171 0.446 1
Ti8 Ti 0.164 0.497 0.447 1
Ti9 Ti 0.250 0.170 0.108 1
Ti10 Ti 0.250 0.497 0.108 1
N1 N 0.000 0.000 0.574 1
N2 N 0.001 0.335 0.574 1
N3 N 0.250 0.014 0.024 1
N4 N 0.250 0.152 0.524 1
N5 N 0.250 0.333 0.034 1
O1 O 0.064 0.332 0.855 1
O2 O 0.065 0.007 0.852 1
O3 O 0.065 0.161 0.353 1
O4 O 0.090 0.333 0.123 1
O5 O 0.094 0.000 0.116 1
O6 O 0.094 0.167 0.617 1
O7 O 0.150 0.333 0.481 1
O8 O 0.156 0.168 0.996 1
O9 O 0.156 0.498 0.996 1
O10 O 0.179 0.334 0.761 1
O11 O 0.184 0.168 0.257 1
O12 O 0.184 0.499 0.257 1
# energy above the most stable polymorph in this dataset: 0.00 eV/f.u.
# crystal system: orthorhombic
# ΔE_f (raw): -12033 kJ/mol of formula units

---

# Sm2Al4CdPt3, relaxed, DFT GGA-PBE
data_Sm2Al4CdPt3
_space_group_name_H-M_alt 'P -4 m 2'
_space_group_IT_number 115
_space_group_name_Hall 'P -4 -2'
_cell_length_a 4.281
_cell_length_b 4.281
_cell_length_c 10.742
_cell_angle_alpha 90.00
_cell_angle_beta 90.00
_cell_angle_gamma 90.00
loop_
_atom_site_label
_atom_site_type_symbol
_atom_site_fract_x
_atom_site_fract_y
_atom_site_fract_z
_atom_site_occupancy
Sm1 Sm 0.000 0.500 0.239 1
Al1 Al 0.000 0.000 0.000 1
Al2 Al 0.000 0.500 0.643 1
Al3 Al 0.500 0.500 0.000 1
Cd1 Cd 0.000 0.000 0.500 1
Pt1 Pt 0.000 0.500 0.871 1
Pt2 Pt 0.500 0.500 0.500 1
# crystal system: tetragonal
# formation energy: -0.925 eV per atom

---

# Pm2Pr3Dy2, relaxed, DFT GGA-PBE
data_Pm2Pr3Dy2
_space_group_name_H-M_alt 'C 1 2/m 1'
_space_group_IT_number 12
_space_group_name_Hall '-C 2y'
_cell_length_a 17.851
_cell_length_b 3.562
_cell_length_c 8.698
_cell_angle_alpha 90.00
_cell_angle_beta 118.80
_cell_angle_gamma 90.00
loop_
_atom_site_label
_atom_site_type_symbol
_atom_site_fract_x
_atom_site_fract_y
_atom_site_fract_z
_atom_site_occupancy
Pm1 Pm 0.064 0.000 0.411 1
Pr1 Pr 0.000 0.500 0.000 1
Pr2 Pr 0.213 0.500 0.297 1
Dy1 Dy 0.146 0.500 0.830 1
# energy above the most stable polymorph in this dataset: 0.44 eV/f.u.
# crystal system: monoclinic
# formation energy: 0.112 eV per atom

---

# TcAs2Se, relaxed, DFT GGA-PBE
data_TcAs2Se
_space_group_name_H-M_alt 'C m m 2'
_space_group_IT_number 35
_space_group_name_Hall 'C 2 -2'
_cell_length_a 3.133
_cell_length_b 4.988
_cell_length_c 9.473
_cell_angle_alpha 90.00
_cell_angle_beta 90.00
_cell_angle_gamma 90.00
loop_
_atom_site_label
_atom_site_type_symbol
_atom_site_fract_x
_atom_site_fract_y
_atom_site_fract_z
_atom_site_occupancy
Tc1 Tc 0.000 0.000 0.000 1
As1 As 0.000 0.000 0.531 1
As2 As 0.000 0.500 0.786 1
Se1 Se 0.000 0.500 0.210 1
# energy above the most stable polymorph in this dataset: 1.67 eV/f.u.
# crystal system: orthorhombic
# ΔE_f (raw): 150 kJ/mol of formula units